Entry 1:
Density functional theory data (GGA-PBE) for crystalline Pm2Er6Sc3 at its relaxed geometry.

Cell lengths 5.9580, 5.9642, 11.3583 Å; angles 84.94, 79.84, 60.03 degrees
Closest atoms and distances in Å follow each position.
Element x y z (fractional)
Er1 0.2527 0.0000 0.2395  3 Sc 3.33, 6 Er 3.44-3.45, 2 Pm 3.52
Sc1 0.0000 0.0000 0.0000  6 Er 3.33, 6 Sc 3.43-3.46
Sc2 0.6654 0.6693 0.0000  6 Er 3.33, 6 Sc 3.42-3.46
Sc3 0.3346 0.3307 0.0000  6 Er 3.33, 6 Sc 3.42-3.46
Pm1 0.1666 0.6668 0.5000  3 Pm 3.44, 6 Er 3.52-3.53
Pm2 0.8334 0.3332 0.5000  3 Pm 3.44, 6 Er 3.52-3.53
Er2 0.7473 0.0000 0.7605  3 Sc 3.33, 6 Er 3.44-3.45, 2 Pm 3.52
Er3 0.9205 0.6661 0.2389  3 Sc 3.33, 6 Er 3.44-3.45, 2 Pm 3.53
Er4 0.4134 0.6661 0.7611  3 Sc 3.33, 6 Er 3.44-3.45, 2 Pm 3.53
Er5 0.0795 0.3339 0.7611  3 Sc 3.33, 6 Er 3.44-3.45, 2 Pm 3.53
Er6 0.5866 0.3339 0.2389  3 Sc 3.33, 6 Er 3.44-3.45, 2 Pm 3.53

Output
total magnetization: 0.0 μB per formula unit
crystal system: monoclinic
mass density: 6.892 g cm⁻³
uncorrected energy: -4.879 eV/atom



Entry 2:
Density functional theory data (GGA-PBE) for crystalline Na2ZrI6 at its relaxed geometry.

Cell lengths 7.4381, 7.4381, 13.6621 Å; angles 90.00, 90.00, 90.00 degrees
Closest atoms and distances in Å follow each position.
Element x y z (fractional)
Na1 0.0000 0.0000 0.8341  6 I 3.21-3.27
Zr1 0.0000 0.0000 0.5000  6 I 2.88-2.90
I1 0.8089 0.1911 0.3490  1 Zr 2.88, 1 Na 3.21
I2 0.2757 0.2757 0.5000  1 Zr 2.90
Zr2 0.5000 0.5000 0.0000  6 I 2.88-2.90
I3 0.8089 0.1911 0.6510  1 Zr 2.88, 1 Na 3.21
I4 0.6911 0.6911 0.8490  1 Zr 2.88, 1 Na 3.21
I5 0.2243 0.7757 0.0000  1 Zr 2.90
I6 0.3089 0.3089 0.1510  1 Zr 2.88, 1 Na 3.21
I7 0.7757 0.2243 0.0000  1 Zr 2.90
Na2 0.5000 0.5000 0.3341  6 I 3.21-3.27
Na3 0.5000 0.5000 0.6659  6 I 3.21-3.27
I8 0.7243 0.7243 0.5000  1 Zr 2.90
I9 0.1911 0.8089 0.6510  1 Zr 2.88, 1 Na 3.21
I10 0.3089 0.3089 0.8490  1 Zr 2.88, 1 Na 3.21
I11 0.1911 0.8089 0.3490  1 Zr 2.88, 1 Na 3.21
Na4 0.0000 0.0000 0.1659  6 I 3.21-3.27
I12 0.6911 0.6911 0.1510  1 Zr 2.88, 1 Na 3.21

Output
total magnetization: 0.0 μB per formula unit
crystal system: tetragonal
mass density: 3.948 g cm⁻³
uncorrected energy: -3.304 eV/atom
formation energy from raw total energies: -1.03 eV per atom



Entry 3:
Density functional theory data (GGA-PBE) for crystalline Fe2RuRh at its relaxed geometry.

Cell lengths 8.6630, 8.6630, 8.6630 Å; angles 17.69, 17.69, 17.69 degrees
Closest atoms and distances in Å follow each position.
Element x y z (fractional)
Fe1 0.0004 0.0004 0.0004  3 Ru 2.62, 3 Rh 2.64, 6 Fe 2.66
Fe2 0.4996 0.4996 0.4996  3 Ru 2.62, 3 Rh 2.64, 6 Fe 2.66
Ru1 0.7500 0.7500 0.7500  6 Fe 2.62, 6 Ru 2.66
Rh1 0.2500 0.2500 0.2500  6 Fe 2.64, 6 Rh 2.66

Output
total magnetization: 5.4 μB per formula unit
crystal system: trigonal
mass density: 10.001 g cm⁻³
uncorrected energy: -8.271 eV/atom



Entry 4:
Density functional theory data (GGA-PBE) for crystalline Pm2Al7Pd at its relaxed geometry.

Cell lengths 4.2276, 4.2276, 11.1560 Å; angles 90.00, 90.00, 90.00 degrees
Closest atoms and distances in Å follow each position.
Element x y z (fractional)
Al1 0.5000 0.0000 0.1301  3 Al 2.52-2.56, 2 Pd 2.56
Al2 0.0000 0.0000 0.0000  4 Al 2.56
Al3 0.5000 0.5000 0.5000  4 Al 2.65
Al4 0.5000 0.0000 0.3564  5 Al 2.52-2.65
Al5 0.0000 0.0000 0.5000  4 Al 2.65
Pm1 0.5000 0.0000 0.7482  14 Al 3.21-3.52, 2 Pd 3.52
Al6 0.0000 0.5000 0.8699  3 Al 2.52-2.56, 2 Pd 2.56
Al7 0.0000 0.5000 0.6436  5 Al 2.52-2.65
Pd1 0.5000 0.5000 0.0000  4 Al 2.56
Pm2 0.0000 0.5000 0.2518  14 Al 3.21-3.52, 2 Pd 3.52

Output
total magnetization: 0.0 μB per formula unit
crystal system: tetragonal
mass density: 4.874 g cm⁻³
uncorrected energy: -4.580 eV/atom